(1)
Tm4ScSn3 (PBE, relaxed); E_form = -0.433 eV/atom; space-group type = C2/m (12)
1.0
-2.9220 -2.2634 0.2030
6.1153 -8.4115 -5.7617
-4.7915 10.2423 11.4816
Tm Sc Sn
4 1 3
direct
0.8804 0.3937 0.7608
0.1196 0.6063 0.2392
0.7732 0.7912 0.5463
0.2268 0.2088 0.4537
0.0000 0.0000 0.0000
0.3845 0.8755 0.7691
0.6155 0.1245 0.2309
0.5000 0.5000 0.0000



(2)
RbLiSc2Br8 (PBE, relaxed); ΔE_f (raw) = -1.6074 eV/atom; space-group type = P-1 (2)
1.0
-2.7480 6.5206 0.6862
-4.3982 -0.1147 -5.3922
-5.9511 -3.0106 4.9106
Rb Li Sc Br
1 1 2 8
direct
0.0000 0.0000 0.5000
0.0000 0.0000 0.0000
0.5001 0.5002 0.7591
0.4999 0.4998 0.2409
0.1689 0.7191 0.2162
0.6207 0.7198 0.0001
0.8304 0.2793 0.2156
0.8311 0.2809 0.7838
0.3793 0.2802 0.9999
0.1696 0.7207 0.7844
0.6125 0.7062 0.4995
0.3875 0.2938 0.5005



(3)
VFeB (PBE, relaxed); energy above the most stable polymorph in this dataset = 133 meV per atom; E_form = -0.433 eV/atom; space-group type = Immm (71)
1.0
-1.8072 0.5037 2.1246
-3.6389 -1.2461 -2.7998
3.1177 -3.7098 1.6409
V Fe B
2 2 2
direct
0.2961 0.2961 0.5923
0.7039 0.7039 0.4077
0.0000 0.2530 0.0000
0.0000 0.7470 0.0000
0.6051 0.1051 0.2103
0.3949 0.8949 0.7897



Number 1: total moment 0.157 μB per atom, N(E_F) 6.51 states/eV/cell, mass density 8.5 g/cm3. Number 2: total moment 0.000 μB per atom, N(E_F) 0.00 states/eV/cell, mass density 3.4 g/cm3. Number 3: total moment 0.000 μB per atom, N(E_F) 4.83 states/eV/cell, mass density 6.7 g/cm3.